VASP calculation (PBE-GGA) on a relaxed structure of RbGa3Pd.

Output
total moment = 0.000 μB per cell
calculated formation energy = -0.23 eV/atom
space group = C2/c, No. 15

a = 6.596 Å, b = 8.584 Å, c = 8.584 Å
α = 97.30°, β = 84.07°, γ = 84.07°
Positions (direct):
1 Pd 0.750 0.229 0.771
2 Rb 0.390 0.542 0.720
3 Pd 0.750 0.006 0.994
4 Pd 0.250 0.771 0.229
5 Ga 0.354 0.879 0.499
6 Ga 0.921 0.971 0.252
7 Pd 0.250 0.994 0.006
8 Ga 0.579 0.748 0.029
9 Rb 0.610 0.458 0.280
10 Ga 0.646 0.121 0.501
11 Rb 0.110 0.280 0.458
12 Ga 0.519 0.979 0.758
13 Ga 0.146 0.501 0.121
14 Ga 0.481 0.021 0.242
15 Ga 0.854 0.499 0.879
16 Ga 0.421 0.252 0.971
17 Ga 0.981 0.242 0.021
18 Ga 0.019 0.758 0.979
19 Ga 0.079 0.029 0.748
20 Rb 0.890 0.720 0.542


VASP calculation (PBE-GGA) on a relaxed structure of YAlIr2.

Output
total moment = 0.000 μB per cell
calculated formation energy = -0.35 eV/atom
space group = P2/m, No. 10

a = 3.098 Å, b = 5.185 Å, c = 5.590 Å
α = 50.67°, β = 90.00°, γ = 90.00°
Positions (direct):
1 Ir 0.000 0.000 0.000
2 Ir 0.500 0.500 0.000
3 Y 0.500 0.500 0.500
4 Al 0.000 0.000 0.500


VASP calculation (PBE-GGA) on a relaxed structure of HoScCdOs.

Output
total moment = 0.000 μB per cell
calculated formation energy = -0.38 eV/atom
space group = P4mm, No. 99

a = 3.354 Å, b = 3.354 Å, c = 7.506 Å
α = 90.00°, β = 90.00°, γ = 90.00°
Positions (direct):
1 Os 0.000 0.000 0.553
2 Cd 0.000 0.000 0.091
3 Ho 0.500 0.500 0.782
4 Sc 0.500 0.500 0.358


VASP calculation (PBE-GGA) on a relaxed structure of Cd3TeI3.

Output
total moment = 0.000 μB per cell
space group = P2_1/m, No. 11
raw total energy = -25.665 eV for the cell shown

a = 6.680 Å, b = 11.234 Å, c = 9.469 Å
α = 126.44°, β = 90.00°, γ = 90.00°
Positions (direct):
1 Cd 0.250 0.348 0.194
2 Cd 0.250 0.843 0.189
3 Cd 0.750 0.652 0.806
4 I 0.250 0.151 0.304
5 I 0.750 0.335 0.215
6 I 0.750 0.877 0.211
7 Cd 0.750 0.193 0.388
8 I 0.750 0.849 0.696
9 I 0.250 0.665 0.785
10 Cd 0.250 0.807 0.612
11 Te 0.250 0.627 0.254
12 I 0.250 0.123 0.789
13 Te 0.750 0.373 0.746
14 Cd 0.750 0.157 0.811


VASP calculation (PBE-GGA) on a relaxed structure of TeSeCl3.

Output
total moment = 0.000 μB per cell
space group = P2/c, No. 13
raw total energy = -57.592 eV for the cell shown

a = 7.469 Å, b = 7.460 Å, c = 16.045 Å
α = 90.00°, β = 89.35°, γ = 90.00°
Positions (direct):
1 Cl 0.097 0.738 0.999
2 Cl 0.235 0.538 0.759
3 Se 0.956 0.063 0.182
4 Se 0.956 0.937 0.682
5 Te 0.078 0.373 0.124
6 Te 0.922 0.627 0.876
7 Cl 0.356 0.712 0.565
8 Te 0.922 0.373 0.376
9 Cl 0.903 0.262 0.001
10 Cl 0.644 0.288 0.435
11 Cl 0.903 0.738 0.501
12 Cl 0.765 0.538 0.741
13 Se 0.044 0.063 0.318
14 Se 0.044 0.937 0.818
15 Cl 0.765 0.462 0.241
16 Cl 0.356 0.288 0.065
17 Cl 0.097 0.262 0.499
18 Cl 0.235 0.462 0.259
19 Te 0.078 0.627 0.624
20 Cl 0.644 0.712 0.935


VASP calculation (PBE-GGA) on a relaxed structure of CaCuCl2.

Output
total moment = 0.000 μB per cell
space group = C2/m, No. 12
raw total energy = -13.555 eV for the cell shown

a = 5.420 Å, b = 5.420 Å, c = 4.790 Å
α = 63.56°, β = 63.56°, γ = 98.51°
Positions (direct):
1 Cl 0.500 0.500 0.000
2 Ca 0.000 0.500 0.500
3 Cl 0.000 0.000 0.000
4 Cu 0.500 0.000 0.500


VASP calculation (PBE-GGA) on a relaxed structure of Th6IrAu3.

Output
total moment = 0.000 μB per cell
calculated formation energy = -0.49 eV/atom
space group = P2_1/m, No. 11

a = 3.958 Å, b = 14.036 Å, c = 12.778 Å
α = 127.91°, β = 90.00°, γ = 90.00°
Positions (direct):
1 Th 0.250 0.508 0.385
2 Au 0.250 0.713 0.791
3 Th 0.250 0.611 0.947
4 Th 0.250 0.219 0.763
5 Th 0.250 0.188 0.300
6 Th 0.750 0.812 0.700
7 Ir 0.250 0.931 0.234
8 Th 0.750 0.093 0.462
9 Au 0.750 0.287 0.209
10 Au 0.250 0.592 0.192
11 Au 0.250 0.316 0.595
12 Th 0.750 0.781 0.237
13 Th 0.250 0.101 0.953
14 Th 0.750 0.899 0.047
15 Th 0.750 0.389 0.053
16 Au 0.750 0.408 0.808
17 Au 0.750 0.684 0.405
18 Th 0.250 0.907 0.538
19 Th 0.750 0.492 0.615
20 Ir 0.750 0.069 0.766


VASP calculation (PBE-GGA) on a relaxed structure of CdFe2W.

Output
total moment = 4.480 μB per cell
calculated formation energy = 0.41 eV/atom
space group = Pm, No. 6

a = 4.195 Å, b = 2.661 Å, c = 5.541 Å
α = 74.72°, β = 90.00°, γ = 90.00°
Site moments in Bohr magnetons follow the coordinates.
Positions (direct):
1 W 0.000 0.479 0.459  -0.16
2 Fe 0.500 0.207 0.251  2.25
3 Cd 0.500 0.773 0.768  -0.03
4 Fe 0.000 0.041 0.022  2.45


VASP calculation (PBE-GGA) on a relaxed structure of Nd5ZnCo2.

Output
total moment = 0.001 μB per cell
calculated formation energy = -0.11 eV/atom
space group = I4/mcm, No. 140

a = 7.841 Å, b = 7.841 Å, c = 8.665 Å
α = 116.90°, β = 116.90°, γ = 90.00°
Positions (direct):
1 Nd 0.300 0.800 0.272
2 Co 0.125 0.375 0.000
3 Nd 0.200 0.029 0.728
4 Nd 0.029 0.529 0.728
5 Nd 0.800 0.971 0.272
6 Co 0.625 0.125 0.000
7 Nd 0.471 0.300 0.272
8 Nd 0.500 0.500 0.000
9 Nd 0.700 0.200 0.728
10 Zn 0.250 0.250 0.500
11 Zn 0.750 0.750 0.500
12 Nd 0.000 0.000 0.000
13 Co 0.375 0.875 0.000
14 Nd 0.529 0.700 0.728
15 Nd 0.971 0.471 0.272
16 Co 0.875 0.625 0.000


VASP calculation (PBE-GGA) on a relaxed structure of Tc2P.

Output
total moment = 0.000 μB per cell
calculated formation energy = -0.27 eV/atom
space group = C2/m, No. 12

a = 4.584 Å, b = 4.584 Å, c = 6.873 Å
α = 70.42°, β = 70.42°, γ = 37.96°
Positions (direct):
1 Tc 0.325 0.325 0.141
2 P 0.973 0.973 0.798
3 Tc 0.355 0.355 0.531
4 Tc 0.675 0.675 0.859
5 P 0.027 0.027 0.202
6 Tc 0.645 0.645 0.469


VASP calculation (PBE-GGA) on a relaxed structure of RbMgInP2.

Output
total moment = 0.000 μB per cell
calculated formation energy = -0.46 eV/atom
space group = C2/m, No. 12

a = 4.327 Å, b = 7.244 Å, c = 9.885 Å
α = 98.13°, β = 90.00°, γ = 107.38°
Positions (direct):
1 P 0.870 0.740 0.063
2 In 0.050 0.099 0.182
3 Rb 0.346 0.693 0.346
4 P 0.130 0.260 0.937
5 P 0.623 0.245 0.303
6 In 0.950 0.901 0.818
7 Rb 0.654 0.307 0.654
8 P 0.377 0.755 0.697
9 Mg 0.317 0.635 0.933
10 Mg 0.683 0.365 0.067


VASP calculation (PBE-GGA) on a relaxed structure of Dy2Ru2O7.

Output
total moment = 8.051 μB per cell
space group = Fd-3m, No. 227
raw total energy = -172.214 eV for the cell shown

a = 7.243 Å, b = 7.243 Å, c = 7.243 Å
α = 60.00°, β = 60.00°, γ = 60.00°
Site moments in Bohr magnetons follow the coordinates.
Positions (direct):
1 O 0.713 0.287 0.713  0.11
2 O 0.287 0.713 0.287  0.11
3 Dy 0.125 0.125 0.625  0.06
4 Ru 0.625 0.625 0.625  1.52
5 Dy 0.125 0.125 0.125  0.06
6 O 0.537 0.537 0.963  0.11
7 O 0.000 0.000 0.000  0.00
8 O 0.537 0.963 0.963  0.11
9 Ru 0.625 0.625 0.125  1.52
10 O 0.250 0.250 0.250  0.00
11 O 0.963 0.963 0.537  0.11
12 O 0.537 0.963 0.537  0.11
13 Dy 0.625 0.125 0.125  0.06
14 O 0.287 0.713 0.713  0.11
15 O 0.287 0.287 0.713  0.11
16 Ru 0.625 0.125 0.625  1.52
17 Ru 0.125 0.625 0.625  1.52
18 Dy 0.125 0.625 0.125  0.06
19 O 0.713 0.713 0.287  0.11
20 O 0.963 0.537 0.963  0.11
21 O 0.963 0.537 0.537  0.11
22 O 0.713 0.287 0.287  0.11


VASP calculation (PBE-GGA) on a relaxed structure of NaScSn.

Output
total moment = 0.000 μB per cell
calculated formation energy = -0.30 eV/atom
space group = P2/m, No. 10

a = 8.313 Å, b = 4.276 Å, c = 4.305 Å
α = 90.00°, β = 105.03°, γ = 90.00°
Positions (direct):
1 Na 0.000 0.500 0.000
2 Sc 0.650 0.500 0.325
3 Na 0.000 0.000 0.500
4 Sn 0.660 0.000 0.830
5 Sc 0.350 0.500 0.675
6 Sn 0.340 0.000 0.170


VASP calculation (PBE-GGA) on a relaxed structure of PmPtAu3.

Output
total moment = 0.000 μB per cell
calculated formation energy = -0.28 eV/atom
space group = I-4m2, No. 119

a = 5.269 Å, b = 5.269 Å, c = 10.029 Å
α = 105.23°, β = 105.23°, γ = 90.00°
Positions (direct):
1 Pm 0.577 0.077 0.154
2 Pm 0.923 0.423 0.846
3 Au 0.127 0.876 0.254
4 Au 0.324 0.324 0.648
5 Au 0.622 0.873 0.746
6 Au 0.676 0.676 0.352
7 Au 0.124 0.873 0.746
8 Pt 0.250 0.750 0.500
9 Pt 0.000 0.000 0.000
10 Au 0.127 0.378 0.254


VASP calculation (PBE-GGA) on a relaxed structure of Ga3SiN.

Output
total moment = 0.000 μB per cell
space group = Pm-3m, No. 221
raw total energy = -16.373 eV for the cell shown

a = 4.700 Å, b = 4.700 Å, c = 4.700 Å
α = 90.00°, β = 90.00°, γ = 90.00°
Positions (direct):
1 Ga 0.500 0.000 0.000
2 Ga 0.000 0.000 0.500
3 Si 0.000 0.000 0.000
4 Ga 0.000 0.500 0.000
5 N 0.500 0.500 0.500


VASP calculation (PBE-GGA) on a relaxed structure of Mn2FeRh.

Output
total moment = 1.540 μB per cell
calculated formation energy = 0.03 eV/atom
space group = Cmmm, No. 65

a = 4.459 Å, b = 4.459 Å, c = 2.593 Å
α = 90.00°, β = 90.00°, γ = 109.97°
Site moments in Bohr magnetons follow the coordinates.
Positions (direct):
1 Fe 0.000 0.500 0.500  -2.00
2 Mn 0.000 0.000 0.000  1.78
3 Mn 0.500 0.500 0.000  1.78
4 Rh 0.500 0.000 0.500  -0.10


VASP calculation (PBE-GGA) on a relaxed structure of MnBiSeCl2.

Output
total moment = 4.056 μB per cell
space group = P4/mmm, No. 123
raw total energy = -18.490 eV for the cell shown

a = 5.065 Å, b = 5.192 Å, c = 5.065 Å
α = 90.00°, β = 90.00°, γ = 90.00°
Site moments in Bohr magnetons follow the coordinates.
Positions (direct):
1 Se 0.000 0.000 0.000  0.02
2 Cl 0.000 0.000 0.500  0.00
3 Bi 0.500 0.500 0.500  -0.40
4 Mn 0.000 0.500 0.000  4.23
5 Cl 0.500 0.000 0.000  0.01


VASP calculation (PBE-GGA) on a relaxed structure of BaAl2Te.

Output
total moment = 0.000 μB per cell
space group = P4/mmm, No. 123
raw total energy = -13.435 eV for the cell shown

a = 4.785 Å, b = 4.785 Å, c = 5.120 Å
α = 90.00°, β = 90.00°, γ = 90.00°
Positions (direct):
1 Al 0.500 0.500 0.000
2 Ba 0.500 0.000 0.500
3 Al 0.000 0.000 0.000
4 Te 0.000 0.500 0.500


VASP calculation (PBE-GGA) on a relaxed structure of SrTlPRu.

Output
total moment = 0.000 μB per cell
calculated formation energy = -0.30 eV/atom
space group = P1, No. 1

a = 3.710 Å, b = 4.899 Å, c = 6.295 Å
α = 112.99°, β = 106.96°, γ = 90.02°
Positions (direct):
1 Sr 0.131 0.631 0.995
2 Ru 0.917 0.915 0.561
3 P 0.529 0.024 0.787
4 Tl 0.804 0.305 0.344


VASP calculation (PBE-GGA) on a relaxed structure of Hf2PtRh.

Output
total moment = 0.000 μB per cell
calculated formation energy = -0.98 eV/atom
space group = C2/m, No. 12

a = 5.439 Å, b = 5.423 Å, c = 5.423 Å
α = 76.34°, β = 79.08°, γ = 100.92°
Positions (direct):
1 Hf 0.500 0.702 0.202
2 Hf 0.920 0.253 0.247
3 Rh 0.000 0.755 0.255
4 Hf 0.500 0.298 0.798
5 Pt 0.610 0.832 0.668
6 Pt 0.390 0.168 0.332
7 Rh 0.000 0.245 0.745
8 Hf 0.080 0.747 0.753